one) Computed, not measured: an optimized crystal structure of CaTmCd at the GGA-PBE level of DFT.

Results
- Crystal system: trigonal

Cell: 5.3115 5.3115 3.6268 Å, 90.00 90.00 120.00°
Space group P3m1 (No. 156)
Asymmetric unit:
Ca 0.0000 0.0000 0.0000 (multiplicity 1)
Tm 0.3333 0.6667 0.4465 (multiplicity 1)
Cd 0.6667 0.3333 0.6887 (multiplicity 1)


two) Computed, not measured: an optimized crystal structure of CaTmCd at the GGA-PBE level of DFT.

Results
- Crystal system: hexagonal

Cell: 7.9690 7.9690 4.9898 Å, 90.00 90.00 120.00°
Space group P-62m (No. 189)
Asymmetric unit:
Ca 0.0000 0.4162 0.0000 (multiplicity 3)
Tm 0.0000 0.7554 0.5000 (multiplicity 3)
Cd 0.0000 0.0000 0.0000 (multiplicity 1)
Cd 0.3333 0.6667 0.5000 (multiplicity 2)


How far above the most stable structure does each one sit? In meV per atom: one) 138; two) 0.


one) Computed, not measured: an optimized crystal structure of CaTmZnCd at the GGA-PBE level of DFT.

Results
- Crystal system: tetragonal

Cell: 3.6743 3.6743 7.3814 Å, 90.00 90.00 90.00°
Space group P4mm (No. 99)
Asymmetric unit:
Ca 0.0000 0.0000 0.0000 (multiplicity 1)
Tm 0.0000 0.0000 0.5289 (multiplicity 1)
Zn 0.5000 0.5000 0.7395 (multiplicity 1)
Cd 0.5000 0.5000 0.2793 (multiplicity 1)


two) Computed, not measured: an optimized crystal structure of CaTmZnCd at the GGA-PBE level of DFT.

Results
- Crystal system: cubic

Cell: 7.3539 7.3539 7.3539 Å, 90.00 90.00 90.00°
Space group F-43m (No. 216)
Asymmetric unit:
Ca 0.0000 0.0000 0.0000 (multiplicity 4)
Tm 0.0000 0.0000 0.5000 (multiplicity 4)
Zn 0.2500 0.2500 0.2500 (multiplicity 4)
Cd 0.2500 0.2500 0.7500 (multiplicity 4)


How far above the most stable structure does each one sit? In meV per atom: one) 0; two) 31.


one) Computed, not measured: an optimized crystal structure of CaCdW3 at the GGA-PBE level of DFT.

Results
- Crystal system: cubic

Cell: 4.6871 4.6871 4.6871 Å, 90.00 90.00 90.00°
Space group Pm-3m (No. 221)
Asymmetric unit:
Ca 0.0000 0.0000 0.0000 (multiplicity 1)
Cd 0.5000 0.5000 0.5000 (multiplicity 1)
W 0.0000 0.0000 0.5000 (multiplicity 3)


two) Computed, not measured: an optimized crystal structure of CaCdW3 at the GGA-PBE level of DFT.

Results
- Crystal system: cubic

Cell: 4.9645 4.9645 4.9645 Å, 90.00 90.00 90.00°
Space group Pm-3m (No. 221)
Asymmetric unit:
Ca 0.0000 0.0000 0.0000 (multiplicity 1)
Cd 0.5000 0.5000 0.5000 (multiplicity 1)
W 0.0000 0.5000 0.5000 (multiplicity 3)


How far above the most stable structure does each one sit? In meV per atom: one) 412; two) 0.


one) Computed, not measured: an optimized crystal structure of Ca3CdW at the GGA-PBE level of DFT.

Results
- Crystal system: cubic

Cell: 5.5608 5.5608 5.5608 Å, 90.00 90.00 90.00°
Space group Pm-3m (No. 221)
Asymmetric unit:
Ca 0.0000 0.0000 0.5000 (multiplicity 3)
Cd 0.5000 0.5000 0.5000 (multiplicity 1)
W 0.0000 0.0000 0.0000 (multiplicity 1)


two) Computed, not measured: an optimized crystal structure of Ca3CdW at the GGA-PBE level of DFT.

Results
- Crystal system: cubic

Cell: 5.7472 5.7472 5.7472 Å, 90.00 90.00 90.00°
Space group Pm-3m (No. 221)
Asymmetric unit:
Ca 0.0000 0.0000 0.5000 (multiplicity 3)
Cd 0.0000 0.0000 0.0000 (multiplicity 1)
W 0.5000 0.5000 0.5000 (multiplicity 1)


How far above the most stable structure does each one sit? In meV per atom: one) 0; two) 273.


one) Computed, not measured: an optimized crystal structure of CaY3Cd at the GGA-PBE level of DFT.

Results
- Crystal system: cubic

Cell: 5.7550 5.7550 5.7550 Å, 90.00 90.00 90.00°
Space group Pm-3m (No. 221)
Asymmetric unit:
Ca 0.0000 0.0000 0.0000 (multiplicity 1)
Y 0.0000 0.5000 0.5000 (multiplicity 3)
Cd 0.5000 0.5000 0.5000 (multiplicity 1)


two) Computed, not measured: an optimized crystal structure of CaY3Cd at the GGA-PBE level of DFT.

Results
- Crystal system: cubic

Cell: 5.5800 5.5800 5.5800 Å, 90.00 90.00 90.00°
Space group Pm-3m (No. 221)
Asymmetric unit:
Ca 0.0000 0.0000 0.0000 (multiplicity 1)
Y 0.0000 0.0000 0.5000 (multiplicity 3)
Cd 0.5000 0.5000 0.5000 (multiplicity 1)


How far above the most stable structure does each one sit? In meV per atom: one) 0; two) 618.


one) Computed, not measured: an optimized crystal structure of Ca3YCd at the GGA-PBE level of DFT.

Results
- Crystal system: cubic

Cell: 6.2082 6.2082 6.2082 Å, 90.00 90.00 90.00°
Space group Pm-3m (No. 221)
Asymmetric unit:
Ca 0.0000 0.0000 0.5000 (multiplicity 3)
Y 0.0000 0.0000 0.0000 (multiplicity 1)
Cd 0.5000 0.5000 0.5000 (multiplicity 1)


two) Computed, not measured: an optimized crystal structure of Ca3YCd at the GGA-PBE level of DFT.

Results
- Crystal system: cubic

Cell: 5.8679 5.8679 5.8679 Å, 90.00 90.00 90.00°
Space group Pm-3m (No. 221)
Asymmetric unit:
Ca 0.0000 0.0000 0.5000 (multiplicity 3)
Y 0.5000 0.5000 0.5000 (multiplicity 1)
Cd 0.0000 0.0000 0.0000 (multiplicity 1)


How far above the most stable structure does each one sit? In meV per atom: one) 597; two) 0.


one) Computed, not measured: an optimized crystal structure of CaYCd4 at the GGA-PBE level of DFT.

Results
- Crystal system: orthorhombic

Cell: 3.5023 5.5232 8.5149 Å, 90.00 90.00 90.00°
Space group Pmmm (No. 47)
Asymmetric unit:
Ca 0.0000 0.0000 0.0000 (multiplicity 1)
Y 0.5000 0.5000 0.5000 (multiplicity 1)
Cd 0.0000 0.5000 0.1817 (multiplicity 2)
Cd 0.5000 0.0000 0.3234 (multiplicity 2)


two) Computed, not measured: an optimized crystal structure of CaYCd4 at the GGA-PBE level of DFT.

Results
- Crystal system: monoclinic

Cell: 3.5310 8.6568 4.9750 Å, 90.00 90.15 90.00°
Space group P2/m (No. 10)
Asymmetric unit:
Ca 0.0000 0.0000 0.0000 (multiplicity 1)
Y 0.0000 0.5000 0.5000 (multiplicity 1)
Cd 0.5000 0.1682 0.5000 (multiplicity 2)
Cd 0.5000 0.3353 0.0000 (multiplicity 2)


How far above the most stable structure does each one sit? In meV per atom: one) 263; two) 0.


one) Computed, not measured: an optimized crystal structure of CaYZnCd at the GGA-PBE level of DFT.

Results
- Crystal system: cubic

Cell: 7.4092 7.4092 7.4092 Å, 90.00 90.00 90.00°
Space group F-43m (No. 216)
Asymmetric unit:
Ca 0.0000 0.0000 0.0000 (multiplicity 4)
Y 0.0000 0.0000 0.5000 (multiplicity 4)
Zn 0.2500 0.2500 0.7500 (multiplicity 4)
Cd 0.2500 0.2500 0.2500 (multiplicity 4)


two) Computed, not measured: an optimized crystal structure of CaYZnCd at the GGA-PBE level of DFT.

Results
- Crystal system: tetragonal

Cell: 3.7083 3.7083 7.4342 Å, 90.00 90.00 90.00°
Space group P4mm (No. 99)
Asymmetric unit:
Ca 0.0000 0.0000 0.0000 (multiplicity 1)
Y 0.0000 0.0000 0.4711 (multiplicity 1)
Zn 0.5000 0.5000 0.2558 (multiplicity 1)
Cd 0.5000 0.5000 0.7252 (multiplicity 1)


How far above the most stable structure does each one sit? In meV per atom: one) 18; two) 0.


one) Computed, not measured: an optimized crystal structure of Ca4ZnCd at the GGA-PBE level of DFT.

Results
- Crystal system: cubic

Cell: 9.5660 9.5660 9.5660 Å, 90.00 90.00 90.00°
Space group F-43m (No. 216)
Asymmetric unit:
Ca 0.1249 0.1249 0.1249 (multiplicity 16)
Zn 0.0000 0.0000 0.5000 (multiplicity 4)
Cd 0.2500 0.2500 0.7500 (multiplicity 4)


two) Computed, not measured: an optimized crystal structure of Ca4ZnCd at the GGA-PBE level of DFT.

Results
- Crystal system: tetragonal

Cell: 3.7799 3.7799 13.2148 Å, 90.00 90.00 90.00°
Space group P4/mmm (No. 123)
Asymmetric unit:
Ca 0.0000 0.0000 0.1338 (multiplicity 2)
Ca 0.5000 0.5000 0.3545 (multiplicity 2)
Zn 0.5000 0.5000 0.0000 (multiplicity 1)
Cd 0.0000 0.0000 0.5000 (multiplicity 1)


How far above the most stable structure does each one sit? In meV per atom: one) 568; two) 0.


one) Computed, not measured: an optimized crystal structure of CaZn2Cd4 at the GGA-PBE level of DFT.

Results
- Crystal system: orthorhombic

Cell: 4.4397 15.6911 4.4832 Å, 90.00 90.00 90.00°
Space group Cmmm (No. 65)
Asymmetric unit:
Ca 0.0000 0.0000 0.0000 (multiplicity 2)
Zn 0.0000 0.4232 0.5000 (multiplicity 4)
Cd 0.0000 0.1789 0.5000 (multiplicity 4)
Cd 0.0000 0.3215 0.0000 (multiplicity 4)


two) Computed, not measured: an optimized crystal structure of CaZn2Cd4 at the GGA-PBE level of DFT.

Results
- Crystal system: tetragonal

Cell: 5.8567 5.8567 14.1811 Å, 90.00 90.00 90.00°
Space group I4/mmm (No. 139)
Asymmetric unit:
Ca 0.0000 0.0000 0.0000 (multiplicity 2)
Zn 0.0000 0.0000 0.4130 (multiplicity 4)
Cd 0.0000 0.0000 0.2237 (multiplicity 4)
Cd 0.0000 0.5000 0.0000 (multiplicity 4)


How far above the most stable structure does each one sit? In meV per atom: one) 0; two) 550.


one) Computed, not measured: an optimized crystal structure of CaZn3Cd at the GGA-PBE level of DFT.

Results
- Crystal system: monoclinic

Cell: 10.8580 6.1997 6.2174 Å, 90.00 90.71 90.00°
Space group C2/m (No. 12)
Asymmetric unit:
Ca 0.2480 0.0000 0.2483 (multiplicity 4)
Zn 0.0000 0.2739 0.5000 (multiplicity 4)
Zn 0.1276 0.0000 0.7155 (multiplicity 4)
Zn 0.1458 0.5000 0.2681 (multiplicity 4)
Cd 0.0000 0.2528 0.0000 (multiplicity 4)


two) Computed, not measured: an optimized crystal structure of CaZn3Cd at the GGA-PBE level of DFT.

Results
- Crystal system: cubic

Cell: 5.0280 5.0280 5.0280 Å, 90.00 90.00 90.00°
Space group Pm-3m (No. 221)
Asymmetric unit:
Ca 0.0000 0.0000 0.0000 (multiplicity 1)
Zn 0.0000 0.5000 0.5000 (multiplicity 3)
Cd 0.5000 0.5000 0.5000 (multiplicity 1)


How far above the most stable structure does each one sit? In meV per atom: one) 0; two) 403.


one) Computed, not measured: an optimized crystal structure of Ca2CeCl8 at the GGA-PBE level of DFT.

Results
- Crystal system: monoclinic

Cell: 11.5281 8.9778 6.4791 Å, 90.00 107.31 90.00°
Space group C2/m (No. 12)
Asymmetric unit:
Ca 0.1618 0.0000 0.4401 (multiplicity 4)
Ce 0.0000 0.5000 0.0000 (multiplicity 2)
Cl 0.0736 0.0000 0.7760 (multiplicity 4)
Cl 0.1406 0.5000 0.7549 (multiplicity 4)
Cl 0.1482 0.3043 0.2623 (multiplicity 8)


two) Computed, not measured: an optimized crystal structure of Ca2CeCl8 at the GGA-PBE level of DFT.

Results
- Crystal system: monoclinic

Cell: 7.9711 12.5953 5.9530 Å, 90.00 105.07 90.00°
Space group C2/m (No. 12)
Asymmetric unit:
Ca 0.0000 0.1982 0.0000 (multiplicity 4)
Ce 0.0000 0.5000 0.5000 (multiplicity 2)
Cl 0.0000 0.2936 0.5000 (multiplicity 4)
Cl 0.1601 0.0000 0.3182 (multiplicity 4)
Cl 0.2123 0.3701 0.1224 (multiplicity 8)


How far above the most stable structure does each one sit? In meV per atom: one) 0; two) 143.